(1)
Material: BaTc2Ag
Method: DFT, PBE
State: optimized geometry

```
BaTc2Ag
1.0
5.0354 0.0000 0.0000
0.0000 3.7021 0.0004
0.0000 1.0612 5.7165
Ag Ba Tc
1 1 2
direct
0.5000 0.2500 0.2500
0.5000 0.7500 0.7500
0.0000 0.0310 0.1299
0.0000 0.4690 0.3701
```

Calculated values
N(E_F) ... 5.35 states/eV per cell
E above lowest polymorph ... 319 meV per atom
E_form ... 0.7471 eV/atom
Space group ... P2/m

=====

(2)
Material: Hg3Au5Cl12
Method: DFT, PBE
State: optimized geometry

```
Hg3Au5Cl12
1.0
-11.4478 0.5066 8.8840
6.3466 -12.9959 1.0310
9.4777 10.3173 3.7365
Hg Au Cl
12 20 48
direct
0.7500 0.3750 0.1250
0.8750 0.7500 0.1250
0.3750 0.7500 0.6250
0.2500 0.1250 0.3750
0.8750 0.1250 0.2500
0.3750 0.6250 0.2500
0.6250 0.3750 0.7500
0.1250 0.8750 0.7500
0.7500 0.8750 0.6250
0.6250 0.2500 0.3750
0.1250 0.2500 0.8750
0.2500 0.6250 0.8750
0.1250 0.3750 0.2500
0.0000 0.5000 0.0000
0.0000 0.0000 0.0000
0.3750 0.2500 0.1250
0.5000 0.0000 0.5000
0.5000 0.5000 0.0000
0.1250 0.7500 0.3750
0.7500 0.1250 0.8750
0.7500 0.6250 0.3750
0.3750 0.1250 0.7500
0.6250 0.8750 0.2500
0.5000 0.5000 0.5000
0.5000 0.0000 0.0000
0.0000 0.0000 0.5000
0.2500 0.3750 0.6250
0.2500 0.8750 0.1250
0.0000 0.5000 0.5000
0.8750 0.2500 0.6250
0.6250 0.7500 0.8750
0.8750 0.6250 0.7500
0.6646 0.1532 0.0073
0.3427 0.5073 0.3541
0.9927 0.3468 0.3354
0.5073 0.1646 0.1532
0.5114 0.6646 0.6573
0.9927 0.6459 0.1573
0.3427 0.8354 0.4886
0.1459 0.9886 0.1532
0.6459 0.9927 0.6573
0.6646 0.5114 0.1573
0.8354 0.4927 0.3468
0.8427 0.8541 0.0073
0.1532 0.6646 0.5073
0.3468 0.3541 0.0114
0.0114 0.8541 0.3468
0.4886 0.1532 0.6459
0.0114 0.1573 0.1646
0.4927 0.6573 0.1459
0.8427 0.9886 0.3354
0.1532 0.4886 0.1459
0.3468 0.9927 0.8354
0.6459 0.6532 0.4886
0.8541 0.8427 0.5073
0.8354 0.3427 0.9886
0.3541 0.3468 0.5114
0.1459 0.1573 0.4927
0.1646 0.6573 0.0114
0.1573 0.0114 0.6646
0.6532 0.0073 0.1646
0.8468 0.5114 0.8541
0.5073 0.3427 0.8541
0.5114 0.8468 0.3541
0.9886 0.8427 0.8354
0.9886 0.1459 0.6532
0.8468 0.3354 0.4927
0.1573 0.1459 0.9927
0.6532 0.6459 0.9886
0.3541 0.0073 0.3427
0.3354 0.4886 0.8427
0.1646 0.5073 0.6532
0.8541 0.0114 0.8468
0.6573 0.1646 0.5114
0.4927 0.8354 0.8468
0.0073 0.3541 0.8427
0.4886 0.3354 0.3427
0.0073 0.6532 0.6646
0.6573 0.4927 0.6459
0.3354 0.8468 0.9927
```

Calculated values
N(E_F) ... 22.94 states/eV per cell
E_form (uncorrected) ... -176 meV/atom
Space group ... Ia-3d

=====

(3)
Material: Pr6HPd2
Method: DFT, PBE
State: optimized geometry

```
Pr6HPd2
1.0
-5.9907 -0.9232 -2.8215
2.3868 -6.1689 -3.0493
-3.0119 -5.2627 8.2892
Pr H Pd
12 2 4
direct
0.1460 0.0268 0.2521
0.1685 0.3193 0.5612
0.1655 0.3217 0.9406
0.3345 0.8217 0.5594
0.3315 0.8193 0.9388
0.3540 0.5268 0.2479
0.8540 0.9732 0.7479
0.8315 0.6807 0.4388
0.8345 0.6783 0.0594
0.6655 0.1783 0.4406
0.6685 0.1807 0.0612
0.6460 0.4732 0.7521
0.5000 0.5000 0.0000
0.0000 0.0000 0.5000
0.0768 0.6160 0.7473
0.4232 0.1160 0.7527
0.5768 0.8840 0.2473
0.9232 0.3840 0.2527
```

Calculated values
N(E_F) ... 16.61 states/eV per cell
E ... -92.435 eV/cell
Space group ... P2_1/c

=====

(4)
Material: Sc2W2Cl
Method: DFT, PBE
State: optimized geometry

```
Sc2W2Cl
1.0
5.4734 0.0000 0.0000
0.0000 5.4734 0.0000
2.7367 2.7367 3.6582
Sc W Cl
2 2 1
direct
0.7500 0.2500 0.5000
0.2500 0.7500 0.5000
0.3297 0.3297 0.3406
0.6703 0.6703 0.6594
0.0000 0.0000 0.0000
```

Calculated values
N(E_F) ... 3.69 states/eV per cell
E_form (uncorrected) ... 906 meV/atom
E above lowest polymorph ... 894 meV per atom
Space group ... I4/mmm